1.
This record from Alexandria via LeMat-Bulk describes crystalline YTa2Pt at its relaxed geometry. The functional is PBE.

The structure in POSCAR format:
```
YTa2Pt
1.0
3.421 0.000 0.000
0.000 3.421 0.000
0.000 0.000 6.834
Pt Ta Y
1 2 1
direct
0.500 0.500 0.770 Pt
0.000 0.000 0.007 Ta
0.500 0.500 0.211 Ta
0.000 0.000 0.512 Y
```

Energy of formation ... -245 meV per atom
Symmetry ... No. 99
VASP energy ... -37.191 eV per formula unit


2.
This record from Alexandria via LeMat-Bulk describes crystalline YTa2Pt at its relaxed geometry. The functional is PBE.

The structure in POSCAR format:
```
YTa2Pt
1.0
3.357 0.000 0.000
0.000 4.597 0.000
0.000 0.000 5.069
Pt Ta Y
1 2 1
direct
0.000 0.500 0.500 Pt
0.000 0.000 0.000 Ta
0.500 0.500 0.000 Ta
0.500 0.000 0.500 Y
```

Energy of formation ... -148 meV per atom
Symmetry ... No. 47
VASP energy ... -36.803 eV per formula unit


3.
This record from Alexandria via LeMat-Bulk describes crystalline YTa3Pt at its relaxed geometry. The functional is PBE.

The structure in POSCAR format:
```
YTa3Pt
1.0
-3.896 -1.776 -2.505
0.936 -4.540 1.764
-2.924 0.913 3.901
Y Pt Ta
1 1 3
direct
0.500 0.500 0.500 Y
0.000 0.000 0.000 Pt
0.000 0.500 0.000 Ta
0.000 0.000 0.500 Ta
0.500 0.000 0.000 Ta
```

Energy of formation ... 851 meV per atom
Symmetry ... No. 221
VASP energy ... -43.808 eV per formula unit


4.
This record from Alexandria via LeMat-Bulk describes crystalline YTa2Pt at its relaxed geometry. The functional is PBE.

The structure in POSCAR format:
```
YTa2Pt
1.0
-5.602 -7.942 1.906
-3.400 -8.401 3.996
-5.777 -6.568 4.646
Pt Ta Y
1 2 1
direct
0.750 0.750 0.750 Pt
0.008 0.008 0.008 Ta
0.492 0.492 0.492 Ta
0.250 0.250 0.250 Y
```

Energy of formation ... 144 meV per atom
Symmetry ... No. 166
VASP energy ... -35.632 eV per formula unit


5.
This record from Alexandria via LeMat-Bulk describes crystalline YTaPt at its relaxed geometry. The functional is PBE.

The structure in POSCAR format:
```
YTaPt
1.0
4.648 0.000 0.000
2.324 4.025 0.000
2.324 1.342 3.795
Pt Ta Y
1 1 1
direct
0.000 0.000 0.000 Pt
0.500 0.500 0.500 Ta
0.750 0.750 0.750 Y
```

Energy of formation ... 879 meV per atom
Symmetry ... No. 216
VASP energy ... -21.719 eV per formula unit


6.
This record from Alexandria via LeMat-Bulk describes crystalline Y2TaPt9 at its relaxed geometry. The functional is PBE.

The structure in POSCAR format:
```
Y2TaPt9
1.0
-0.166 -3.926 1.129
4.010 -0.372 -0.704
2.330 3.229 11.569
Y Ta Pt
2 1 9
direct
0.000 0.000 0.333 Y
0.000 0.000 0.667 Y
0.000 0.000 0.000 Ta
0.500 0.500 0.000 Pt
0.500 0.500 0.327 Pt
0.500 0.500 0.673 Pt
0.500 0.000 0.154 Pt
0.500 0.000 0.500 Pt
0.500 0.000 0.846 Pt
0.000 0.500 0.154 Pt
0.000 0.500 0.500 Pt
0.000 0.500 0.846 Pt
```

Energy of formation ... -931 meV per atom
Symmetry ... No. 123
VASP energy ... -90.314 eV per formula unit


7.
This record from Alexandria via LeMat-Bulk describes crystalline YTa2Pt at its relaxed geometry. The functional is PBE.

The structure in POSCAR format:
```
YTa2Pt
1.0
5.060 0.000 0.000
0.000 2.995 0.006
0.000 0.915 5.186
Pt Ta Y
1 2 1
direct
0.500 0.750 0.750 Pt
0.000 0.949 0.991 Ta
0.000 0.551 0.509 Ta
0.500 0.250 0.250 Y
```

Energy of formation ... -44 meV per atom
Symmetry ... No. 10
VASP energy ... -36.384 eV per formula unit


8.
This record from Alexandria via LeMat-Bulk describes crystalline YTa2Pt at its relaxed geometry. The functional is PBE.

The structure in POSCAR format:
```
YTa2Pt
1.0
-2.376 2.084 2.372
1.971 -1.339 3.152
6.472 8.703 2.127
Y Pt Ta
2 2 4
direct
0.500 0.500 0.000 Y
0.250 0.750 0.500 Y
0.000 0.000 0.000 Pt
0.750 0.250 0.500 Pt
0.634 0.125 0.250 Ta
0.116 0.625 0.250 Ta
0.375 0.366 0.750 Ta
0.875 0.884 0.750 Ta
```

Energy of formation ... 152 meV per atom
Symmetry ... No. 122
VASP energy ... -35.603 eV per formula unit


9.
This record from Alexandria via LeMat-Bulk describes crystalline YTaPt2 at its relaxed geometry. The functional is PBE.

The structure in POSCAR format:
```
YTaPt2
1.0
-0.217 -2.054 9.228
-1.240 -4.744 8.086
1.802 -4.202 8.278
Pt Ta Y
2 1 1
direct
0.997 0.997 0.997 Pt
0.247 0.247 0.247 Pt
0.508 0.508 0.508 Ta
0.748 0.748 0.748 Y
```

Energy of formation ... -118 meV per atom
Symmetry ... No. 160
VASP energy ... -30.868 eV per formula unit


10.
This record from Alexandria via LeMat-Bulk describes crystalline YTaPt2 at its relaxed geometry. The functional is PBE.

The structure in POSCAR format:
```
YTaPt2
1.0
5.399 -0.017 -0.011
3.534 4.082 -0.011
3.534 1.608 3.752
Pt Ta Y
2 1 1
direct
0.962 0.962 0.962 Pt
0.538 0.538 0.538 Pt
0.250 0.250 0.250 Ta
0.750 0.750 0.750 Y
```

Energy of formation ... -788 meV per atom
Symmetry ... No. 166
VASP energy ... -33.549 eV per formula unit


11.
This record from Alexandria via LeMat-Bulk describes crystalline YTaPt at its relaxed geometry. The functional is PBE.

The structure in POSCAR format:
```
YTaPt
1.0
-2.828 -3.553 -4.371
-4.181 -4.469 -1.510
-2.755 1.628 -0.782
Pt Ta Y
1 1 1
direct
0.973 0.973 0.027 Pt
0.359 0.359 0.641 Ta
0.668 0.668 0.332 Y
```

Energy of formation ... -438 meV per atom
Symmetry ... No. 107
VASP energy ... -25.670 eV per formula unit


12.
This record from Alexandria via LeMat-Bulk describes crystalline YTa2Pt at its relaxed geometry. The functional is PBE.

The structure in POSCAR format:
```
YTa2Pt
1.0
5.647 0.000 0.000
2.781 4.915 0.000
-4.214 -2.458 2.845
Pt Ta Y
1 2 1
direct
0.750 0.250 0.500 Pt
0.000 0.000 0.000 Ta
0.500 0.500 0.000 Ta
0.250 0.750 0.500 Y
```

Energy of formation ... -130 meV per atom
Symmetry ... No. 139
VASP energy ... -36.731 eV per formula unit